[1]
# CaMnOs PBE relaxed
data_CaMnOs
_chemical_formula_sum 'Ca1 Mn1 Os1'
_cell_length_a 3.924
_cell_length_b 3.924
_cell_length_c 4.722
_cell_angle_alpha 90.00
_cell_angle_beta 90.00
_cell_angle_gamma 120.00
_symmetry_space_group_name_H-M 'P 1'
_symmetry_Int_Tables_number 1
_symmetry_space_group_name_Hall 'P 1'
loop_
_atom_site_label
_atom_site_type_symbol
_atom_site_fract_x
_atom_site_fract_y
_atom_site_fract_z
Ca1 Ca 0.000 0.000 0.999
Mn1 Mn 0.333 0.667 0.518
Os1 Os 0.667 0.333 0.482
# Symmetry: P3m1
# Electronic total energy in eV/atom: -7.086
# Magnetization in μB/cell: 1.0
# Energy above the most stable polymorph in this dataset in eV/f.u.: 0.07

=====

[2]
# Pr3EuCl PBE relaxed
data_Pr3EuCl
_chemical_formula_sum 'Pr3 Eu1 Cl1'
_cell_length_a 5.585
_cell_length_b 5.585
_cell_length_c 5.585
_cell_angle_alpha 90.00
_cell_angle_beta 90.00
_cell_angle_gamma 90.00
_symmetry_space_group_name_H-M 'P 1'
_symmetry_Int_Tables_number 1
_symmetry_space_group_name_Hall 'P 1'
loop_
_atom_site_label
_atom_site_type_symbol
_atom_site_fract_x
_atom_site_fract_y
_atom_site_fract_z
Pr1 Pr 0.500 0.000 0.000
Pr2 Pr 0.000 0.000 0.500
Pr3 Pr 0.000 0.500 0.000
Eu1 Eu 0.500 0.500 0.500
Cl1 Cl 0.000 0.000 0.000
# Symmetry: Pm-3m
# Electronic total energy in eV/atom: -5.792
# Formation energy from raw total energies in eV per atom: -0.50
# Magnetization in μB/cell: 7.2

=====

[3]
# PmSnP2 PBE relaxed
data_PmSnP2
_chemical_formula_sum 'Pm1 Sn1 P2'
_cell_length_a 4.990
_cell_length_b 4.990
_cell_length_c 4.990
_cell_angle_alpha 60.00
_cell_angle_beta 60.00
_cell_angle_gamma 60.00
_symmetry_space_group_name_H-M 'P 1'
_symmetry_Int_Tables_number 1
_symmetry_space_group_name_Hall 'P 1'
loop_
_atom_site_label
_atom_site_type_symbol
_atom_site_fract_x
_atom_site_fract_y
_atom_site_fract_z
Sn1 Sn 0.500 0.500 0.500
P1 P 0.250 0.250 0.250
P2 P 0.750 0.750 0.750
Pm1 Pm 0.000 0.000 0.000
# Symmetry: Fm-3m
# Electronic total energy in eV/atom: -5.250
# Magnetization in μB/cell: 0.0
# Energy above the most stable polymorph in this dataset in eV/f.u.: 0.95

=====

[4]
# LiOsRu PBE relaxed
data_LiOsRu
_chemical_formula_sum 'Li1 Os1 Ru1'
_cell_length_a 4.554
_cell_length_b 4.554
_cell_length_c 4.554
_cell_angle_alpha 145.20
_cell_angle_beta 131.41
_cell_angle_gamma 61.14
_symmetry_space_group_name_H-M 'P 1'
_symmetry_Int_Tables_number 1
_symmetry_space_group_name_Hall 'P 1'
loop_
_atom_site_label
_atom_site_type_symbol
_atom_site_fract_x
_atom_site_fract_y
_atom_site_fract_z
Li1 Li 0.000 0.000 0.000
Os1 Os 0.674 0.674 0.000
Ru1 Ru 0.326 0.326 0.000
# Symmetry: Imm2
# Electronic total energy in eV/atom: -7.273
# Magnetization in μB/cell: 0.0
# Energy above the most stable polymorph in this dataset in eV/f.u.: 0.14